## BaPb12 (PBE)

Data for crystalline BaPb12 at its relaxed geometry.

## Properties
Energy of formation = -0.0853 eV/atom
Symmetry = I4/mmm, No. 139

a b c (Å): 6.580 8.833 8.833
angles (deg): 82.03 68.13 68.13
Positions (direct):
Pb (0.645, 0.355, 0.355)
Pb (0.355, 0.645, 0.645)
Pb (0.500, 0.500, 0.000)
Pb (0.000, 0.500, 0.000)
Pb (0.000, 0.355, 0.645)
Pb (0.500, 0.000, 0.500)
Pb (0.500, 0.786, 0.214)
Pb (0.500, 0.214, 0.786)
Pb (0.000, 0.645, 0.355)
Pb (0.000, 0.000, 0.500)
Pb (0.286, 0.214, 0.214)
Pb (0.714, 0.786, 0.786)
Ba (0.000, 0.000, 0.000)

=====

## Cu6SbAu5 (PBE)

Data for crystalline Cu6SbAu5 at its relaxed geometry.

## Properties
Energy relative to the elements, uncorrected = -17 kJ/mol of formula units
Symmetry = Immm, No. 71

a b c (Å): 4.157 7.117 7.537
angles (deg): 118.17 106.01 90.00
Positions (direct):
Cu (0.500, 0.257, 0.000)
Cu (0.169, 0.423, 0.339)
Cu (0.831, 0.577, 0.661)
Cu (0.831, 0.084, 0.661)
Cu (0.500, 0.743, 0.000)
Cu (0.169, 0.916, 0.339)
Sb (0.000, 0.000, 0.000)
Au (0.334, 0.334, 0.668)
Au (0.666, 0.666, 0.332)
Au (0.669, 0.169, 0.338)
Au (0.000, 0.500, 0.000)
Au (0.331, 0.831, 0.662)

=====

| no. | DOS(E_F) (states/eV/f.u.) | spin magnetization (μB/cell) |
| --- | --- | --- |
| 1 | 6.30 | 0.00 |
| 2 | 2.33 | 0.00 |